# 1
This record from Alexandria via LeMat-Bulk describes a relaxed structure of Li3LaMg3. The functional is PBE-GGA.

Calculated values
**SG**: Pm-3n (223)
**Total moment**: 0.00 μB per formula unit
**DFT formation energy**: 339 meV per atom
**Raw total energy**: -0.069 hartree per atom

abc: 7.157 7.157 7.157
angles: 90.00 90.00 90.00
Positions (direct):
Li  0.000  0.250  0.500
Li  0.000  0.750  0.500
Li  0.250  0.500  0.000
Li  0.500  0.000  0.250
Li  0.500  0.000  0.750
Li  0.750  0.500  0.000
La  0.000  0.000  0.000
La  0.500  0.500  0.500
Mg  0.000  0.500  0.250
Mg  0.000  0.500  0.750
Mg  0.250  0.000  0.500
Mg  0.500  0.250  0.000
Mg  0.500  0.750  0.000
Mg  0.750  0.000  0.500



# 2
This record from Alexandria via LeMat-Bulk describes a relaxed structure of Li6LaMg6. The functional is PBE-GGA.

Calculated values
**SG**: Immm (71)
**Total moment**: 0.00 μB per formula unit
**DFT formation energy**: -38 meV per atom
**Raw total energy**: -0.075 hartree per atom

abc: 7.784 7.784 7.784
angles: 138.66 98.13 96.19
Positions (direct):
Li  0.000  0.000  0.500
Li  0.000  0.500  0.000
Li  0.223  0.223  0.000
Li  0.500  0.000  0.000
Li  0.500  0.500  0.500
Li  0.777  0.777  0.000
La  0.000  0.500  0.500
Mg  0.204  0.000  0.204
Mg  0.350  0.500  0.850
Mg  0.352  0.852  0.500
Mg  0.648  0.148  0.500
Mg  0.650  0.500  0.150
Mg  0.796  0.000  0.796



# 3
This record from Alexandria via LeMat-Bulk describes a relaxed structure of LiLaMg10. The functional is PBE-GGA.

Calculated values
**SG**: Pmmm (47)
**Total moment**: 0.00 μB per formula unit
**DFT formation energy**: 30 meV per atom
**Raw total energy**: -0.069 hartree per atom

abc: 5.060 5.905 10.493
angles: 90.00 90.00 90.00
Positions (direct):
Li  0.000  0.000  0.000
La  0.000  0.500  0.500
Mg  0.000  0.000  0.321
Mg  0.000  0.000  0.679
Mg  0.000  0.500  0.161
Mg  0.000  0.500  0.839
Mg  0.500  0.000  0.500
Mg  0.500  0.257  0.258
Mg  0.500  0.257  0.742
Mg  0.500  0.500  0.000
Mg  0.500  0.743  0.258
Mg  0.500  0.743  0.742